Entry from Alexandria via LeMat-Bulk: a relaxed structure of ErAu4 (PBE-GGA).

Cell: 5.354 5.354 5.354 Å, 90.00 90.00 90.00°
Space group Pm-3m (No. 221)
Symmetry-distinct sites (fractional):
Er 0.000 0.000 0.000
Au 0.000 0.000 0.500
Au 0.500 0.500 0.500

## Properties
The formation enthalpy at 0 K comes out at 0.628 eV/atom. The total magnetic moment comes out at 0.0 μB per formula unit.


Entry from Alexandria via LeMat-Bulk: a relaxed structure of ErAu6 (PBE-GGA).

Cell: 7.388 7.388 7.388 Å, 90.00 90.00 90.00°
Space group Im-3m (No. 229)
Symmetry-distinct sites (fractional):
Er 0.000 0.000 0.000
Au 0.000 0.250 0.500

## Properties
The formation enthalpy at 0 K comes out at 0.513 eV/atom. The total magnetic moment comes out at 0.0 μB per formula unit.


Entry from Alexandria via LeMat-Bulk: a relaxed structure of Er7Au3 (PBE-GGA).

Cell: 9.9537 9.9537 6.3253 Å, 90.00 90.00 120.00°
Space group P6_3mc (No. 186)
Symmetry-distinct sites (fractional):
Er 0.0747 0.5374 0.0000
Er 0.1289 0.2578 0.7055
Er 0.3333 0.6667 0.5274
Au 0.1910 0.3820 0.2707

## Properties
The formation enthalpy at 0 K comes out at -0.531 eV/atom. The total magnetic moment comes out at 2.3 μB per formula unit.


Entry from Alexandria via LeMat-Bulk: a relaxed structure of Er5Au6 (PBE-GGA).

Cell: 4.915 7.261 14.879 Å, 90.00 90.00 90.00°
Space group Immm (No. 71)
Symmetry-distinct sites (fractional):
Er 0.000 0.000 0.000
Er 0.000 0.000 0.353
Er 0.000 0.500 0.328
Au 0.000 0.232 0.178
Au 0.000 0.276 0.500

## Properties
The formation enthalpy at 0 K comes out at -0.772 eV/atom. The total magnetic moment comes out at 0.0 μB per formula unit.


What did the second record say?
Entry from Alexandria via LeMat-Bulk: a relaxed structure of ErAu6 (PBE-GGA).

Cell: 7.388 7.388 7.388 Å, 90.00 90.00 90.00°
Space group Im-3m (No. 229)
Symmetry-distinct sites (fractional):
Er 0.000 0.000 0.000
Au 0.000 0.250 0.500

## Properties
The formation enthalpy at 0 K comes out at 0.513 eV/atom. The total magnetic moment comes out at 0.0 μB per formula unit.


Question: Look up the formation enthalpy at 0 K of the second one.
Answer: 0.513 eV/atom


Question: The highest formation enthalpy at 0 K belongs to which entry?
Answer: ErAu4